1.
{
  "formula": "Nb2GaBr",
  "functional": "PBE",
  "state": "optimized geometry",
  "lattice_angstrom": [[-2.0261, 2.0261, 9.6700], [2.0261, -2.0261, 9.6700], [2.0261, 2.0261, -9.6700]],
  "species": ["Nb", "Nb", "Nb", "Nb", "Ga", "Ga", "Br", "Br"],
  "frac_coords": [[0.1208, 0.6250, 0.9958], [0.3750, 0.3708, 0.4958], [0.6292, 0.1250, 0.0042], [0.8750, 0.8792, 0.5042], [0.0000, 0.0000, 0.0000], [0.7500, 0.2500, 0.5000], [0.2500, 0.7500, 0.5000], [0.5000, 0.5000, 0.0000]],
  "de_polymorph_mev_per_atom": 173,
  "raw_formation_energy_ev_per_atom": 0.4505
}


2.
{
  "formula": "PrHo4Te5",
  "functional": "PBE",
  "state": "optimized geometry",
  "lattice_angstrom": [[7.2927, -2.1813, 0.0000], [7.2927, 2.1813, 0.0000], [-5.3051, 0.0000, 9.3083]],
  "species": ["Pr", "Ho", "Ho", "Ho", "Ho", "Te", "Te", "Te", "Te", "Te"],
  "frac_coords": [[0.0000, 0.0000, 0.0000], [0.2075, 0.2075, 0.7995], [0.4032, 0.4032, 0.6089], [0.5968, 0.5968, 0.3911], [0.7925, 0.7925, 0.2005], [0.0000, 0.0000, 0.5000], [0.2049, 0.2049, 0.3114], [0.3925, 0.3925, 0.1055], [0.6075, 0.6075, 0.8945], [0.7951, 0.7951, 0.6886]],
  "de_polymorph_mev_per_atom": 0,
  "raw_formation_energy_ev_per_atom": -1.2872
}


3.
{
  "formula": "NaSrEuCu",
  "functional": "PBE",
  "state": "optimized geometry",
  "lattice_angstrom": [[0.0000, 4.0061, 4.0061], [4.0061, 0.0000, 4.0061], [4.0061, 4.0061, 0.0000]],
  "species": ["Na", "Sr", "Eu", "Cu"],
  "frac_coords": [[0.0000, 0.0000, 0.0000], [0.2500, 0.2500, 0.2500], [0.7500, 0.7500, 0.7500], [0.5000, 0.5000, 0.5000]]
}


4.
{
  "formula": "SrH2PtCl8",
  "functional": "PBE",
  "state": "optimized geometry",
  "lattice_angstrom": [[6.9303, 0.0000, 0.0000], [1.4275, 6.9550, 0.0000], [3.1391, 0.3293, 7.3461]],
  "species": ["Sr", "H", "H", "Pt", "Cl", "Cl", "Cl", "Cl", "Cl", "Cl", "Cl", "Cl"],
  "frac_coords": [[0.0000, 0.0000, 0.0000], [0.2472, 0.6504, 0.7160], [0.7528, 0.3496, 0.2840], [0.0000, 0.0000, 0.5000], [0.2014, 0.1298, 0.6224], [0.2157, 0.6960, 0.4855], [0.2380, 0.0811, 0.2069], [0.2675, 0.6185, 0.8807], [0.7325, 0.3815, 0.1193], [0.7620, 0.9189, 0.7931], [0.7843, 0.3040, 0.5145], [0.7986, 0.8702, 0.3776]]
}


5.
{
  "formula": "Sc5Ni4Pt",
  "functional": "PBE",
  "state": "optimized geometry",
  "lattice_angstrom": [[3.1764, 0.0000, 0.0000], [0.0000, 3.1764, 0.0000], [0.0000, 0.0000, 16.2433]],
  "species": ["Sc", "Sc", "Sc", "Sc", "Sc", "Ni", "Ni", "Ni", "Ni", "Pt"],
  "frac_coords": [[0.0000, 0.0000, 0.0000], [0.0000, 0.0000, 0.1969], [0.0000, 0.0000, 0.3943], [0.0000, 0.0000, 0.6057], [0.0000, 0.0000, 0.8031], [0.5000, 0.5000, 0.0983], [0.5000, 0.5000, 0.2958], [0.5000, 0.5000, 0.7042], [0.5000, 0.5000, 0.9017], [0.5000, 0.5000, 0.5000]]
}


6.
{
  "formula": "PrIn12Pt4",
  "functional": "PBE",
  "state": "optimized geometry",
  "lattice_angstrom": [[-4.8142, 4.8142, 4.8142], [4.8142, -4.8142, 4.8142], [4.8142, 4.8142, -4.8142]],
  "species": ["Pr", "In", "In", "In", "In", "In", "In", "In", "In", "In", "In", "In", "In", "Pt", "Pt", "Pt", "Pt"],
  "frac_coords": [[0.0000, 0.0000, 0.0000], [0.1606, 0.4966, 0.3361], [0.1606, 0.8245, 0.6639], [0.1755, 0.3361, 0.8394], [0.3361, 0.1606, 0.4966], [0.3361, 0.8394, 0.1755], [0.4966, 0.3361, 0.1606], [0.5034, 0.6639, 0.8394], [0.6639, 0.1606, 0.8245], [0.6639, 0.8394, 0.5034], [0.8245, 0.6639, 0.1606], [0.8394, 0.1755, 0.3361], [0.8394, 0.5034, 0.6639], [0.0000, 0.0000, 0.5000], [0.0000, 0.5000, 0.0000], [0.5000, 0.0000, 0.0000], [0.5000, 0.5000, 0.5000]]
}


7.
{
  "formula": "CoSnHRu2",
  "functional": "PBE",
  "state": "optimized geometry",
  "lattice_angstrom": [[4.0325, 0.0000, 0.0000], [0.0000, 4.0325, 0.0000], [0.0000, 0.0000, 3.7191]],
  "species": ["Co", "Sn", "H", "Ru", "Ru"],
  "frac_coords": [[0.0000, 0.0000, 0.0000], [0.5000, 0.5000, 0.0000], [0.0000, 0.0000, 0.5000], [0.0000, 0.5000, 0.5000], [0.5000, 0.0000, 0.5000]]
}


8.
{
  "formula": "Ta2BeZnCd",
  "functional": "PBE",
  "state": "optimized geometry",
  "lattice_angstrom": [[4.7291, 0.0000, 0.0000], [0.0000, 4.7291, 0.0000], [0.0000, 0.0000, 4.6761]],
  "species": ["Ta", "Ta", "Be", "Zn", "Cd"],
  "frac_coords": [[0.0000, 0.5000, 0.0000], [0.5000, 0.0000, 0.0000], [0.0000, 0.0000, 0.5000], [0.5000, 0.5000, 0.0000], [0.5000, 0.5000, 0.5000]]
}


9.
{
  "formula": "Ca5Eu3Y12",
  "functional": "PBE",
  "state": "optimized geometry",
  "lattice_angstrom": [[-9.9601, 9.9601, 9.9601], [9.9601, -9.9601, 9.9601], [9.9601, 9.9601, -9.9601]],
  "species": ["Ca", "Ca", "Ca", "Ca", "Ca", "Ca", "Ca", "Ca", "Ca", "Ca", "Ca", "Ca", "Ca", "Ca", "Ca", "Ca", "Ca", "Ca", "Ca", "Ca", "Eu", "Eu", "Eu", "Eu", "Eu", "Eu", "Eu", "Eu", "Eu", "Eu", "Eu", "Eu", "Y", "Y", "Y", "Y", "Y", "Y", "Y", "Y", "Y", "Y", "Y", "Y", "Y", "Y", "Y", "Y", "Y", "Y", "Y", "Y", "Y", "Y", "Y", "Y", "Y", "Y", "Y", "Y", "Y", "Y", "Y", "Y", "Y", "Y", "Y", "Y", "Y", "Y", "Y", "Y", "Y", "Y", "Y", "Y", "Y", "Y", "Y", "Y"],
  "frac_coords": [[0.0000, 0.0000, 0.0000], [0.0000, 0.0000, 0.5000], [0.0000, 0.5000, 0.0000], [0.0000, 0.5000, 0.5000], [0.1250, 0.7500, 0.8750], [0.1250, 0.8750, 0.2500], [0.2500, 0.1250, 0.8750], [0.2500, 0.6250, 0.3750], [0.3750, 0.2500, 0.6250], [0.3750, 0.6250, 0.7500], [0.5000, 0.0000, 0.0000], [0.5000, 0.0000, 0.5000], [0.5000, 0.5000, 0.0000], [0.5000, 0.5000, 0.5000], [0.6250, 0.3750, 0.2500], [0.6250, 0.7500, 0.3750], [0.7500, 0.3750, 0.6250], [0.7500, 0.8750, 0.1250], [0.8750, 0.1250, 0.7500], [0.8750, 0.2500, 0.1250], [0.1250, 0.2500, 0.3750], [0.1250, 0.3750, 0.7500], [0.2500, 0.3750, 0.1250], [0.2500, 0.8750, 0.6250], [0.3750, 0.1250, 0.2500], [0.3750, 0.7500, 0.1250], [0.6250, 0.2500, 0.8750], [0.6250, 0.8750, 0.7500], [0.7500, 0.1250, 0.3750], [0.7500, 0.6250, 0.8750], [0.8750, 0.6250, 0.2500], [0.8750, 0.7500, 0.6250], [0.0623, 0.6486, 0.4203], [0.0623, 0.9137, 0.6420], [0.0797, 0.7283, 0.6420], [0.0797, 0.8514, 0.4377], [0.0863, 0.2283, 0.1486], [0.0863, 0.3580, 0.9377], [0.1420, 0.2283, 0.5797], [0.1420, 0.4137, 0.5623], [0.1486, 0.0863, 0.2283], [0.1486, 0.5623, 0.9203], [0.2283, 0.1486, 0.0863], [0.2283, 0.5797, 0.1420], [0.2717, 0.3580, 0.9203], [0.2717, 0.4137, 0.3514], [0.3514, 0.2717, 0.4137], [0.3514, 0.5797, 0.9377], [0.3580, 0.9203, 0.2717], [0.3580, 0.9377, 0.0863], [0.4137, 0.3514, 0.2717], [0.4137, 0.5623, 0.1420], [0.4203, 0.0623, 0.6486], [0.4203, 0.8580, 0.7717], [0.4377, 0.0797, 0.8514], [0.4377, 0.8580, 0.5863], [0.5623, 0.1420, 0.4137], [0.5623, 0.9203, 0.1486], [0.5797, 0.1420, 0.2283], [0.5797, 0.9377, 0.3514], [0.5863, 0.4377, 0.8580], [0.5863, 0.6486, 0.7283], [0.6420, 0.0623, 0.9137], [0.6420, 0.0797, 0.7283], [0.6486, 0.4203, 0.0623], [0.6486, 0.7283, 0.5863], [0.7283, 0.5863, 0.6486], [0.7283, 0.6420, 0.0797], [0.7717, 0.4203, 0.8580], [0.7717, 0.8514, 0.9137], [0.8514, 0.4377, 0.0797], [0.8514, 0.9137, 0.7717], [0.8580, 0.5863, 0.4377], [0.8580, 0.7717, 0.4203], [0.9137, 0.6420, 0.0623], [0.9137, 0.7717, 0.8514], [0.9203, 0.1486, 0.5623], [0.9203, 0.2717, 0.3580], [0.9377, 0.0863, 0.3580], [0.9377, 0.3514, 0.5797]]
}


10.
{
  "formula": "BaGe3IrPd",
  "functional": "PBE",
  "state": "optimized geometry",
  "lattice_angstrom": [[3.3831, -6.4395, 0.0000], [3.3831, 6.4395, 0.0000], [0.0000, 0.0000, 6.4968]],
  "species": ["Ba", "Ba", "Ge", "Ge", "Ge", "Ge", "Ge", "Ge", "Ir", "Ir", "Pd", "Pd"],
  "frac_coords": [[0.2395, 0.7605, 0.7500], [0.7605, 0.2395, 0.2500], [0.2311, 0.7689, 0.2500], [0.2806, 0.2806, 0.0000], [0.2806, 0.2806, 0.5000], [0.7194, 0.7194, 0.0000], [0.7194, 0.7194, 0.5000], [0.7689, 0.2311, 0.7500], [0.4096, 0.5904, 0.2500], [0.5904, 0.4096, 0.7500], [0.0485, 0.9515, 0.2500], [0.9515, 0.0485, 0.7500]]
}


11.
{
  "formula": "MnGaReIr",
  "functional": "PBE",
  "state": "optimized geometry",
  "lattice_angstrom": [[0.0000, 3.0286, 3.0286], [3.0286, 0.0000, 3.0286], [3.0286, 3.0286, 0.0000]],
  "species": ["Mn", "Ga", "Re", "Ir"],
  "frac_coords": [[0.0000, 0.0000, 0.0000], [0.5000, 0.5000, 0.5000], [0.2500, 0.2500, 0.2500], [0.7500, 0.7500, 0.7500]]
}


12.
{
  "formula": "PuPaSe3",
  "functional": "PBE",
  "state": "optimized geometry",
  "lattice_angstrom": [[6.4830, -2.8598, 0.0000], [6.4830, 2.8598, 0.0000], [-2.9196, 0.0000, 8.5153]],
  "species": ["Pu", "Pu", "Pa", "Pa", "Se", "Se", "Se", "Se", "Se", "Se"],
  "frac_coords": [[0.1109, 0.1109, 0.2552], [0.8891, 0.8891, 0.7448], [0.3635, 0.3635, 0.0848], [0.6365, 0.6365, 0.9152], [0.1275, 0.1275, 0.9305], [0.3413, 0.3413, 0.3736], [0.4040, 0.4040, 0.7897], [0.5960, 0.5960, 0.2103], [0.6587, 0.6587, 0.6264], [0.8725, 0.8725, 0.0695]],
  "de_polymorph_mev_per_atom": 233,
  "raw_formation_energy_ev_per_atom": -1.2388
}


13.
{
  "formula": "PrDy3Sc",
  "functional": "PBE",
  "state": "optimized geometry",
  "lattice_angstrom": [[7.0423, 0.0000, 0.0000], [0.0000, 4.9690, 0.0000], [0.0000, 0.0000, 17.6459]],
  "species": ["Pr", "Pr", "Pr", "Pr", "Dy", "Dy", "Dy", "Dy", "Dy", "Dy", "Dy", "Dy", "Dy", "Dy", "Dy", "Dy", "Sc", "Sc", "Sc", "Sc"],
  "frac_coords": [[0.1261, 0.2500, 0.1491], [0.3739, 0.7500, 0.6491], [0.6261, 0.2500, 0.3509], [0.8739, 0.7500, 0.8509], [0.1221, 0.2500, 0.3545], [0.1247, 0.2500, 0.7481], [0.1296, 0.2500, 0.9521], [0.3704, 0.7500, 0.4521], [0.3753, 0.7500, 0.2481], [0.3779, 0.7500, 0.8545], [0.6221, 0.2500, 0.1455], [0.6247, 0.2500, 0.7519], [0.6296, 0.2500, 0.5479], [0.8704, 0.7500, 0.0479], [0.8753, 0.7500, 0.2519], [0.8779, 0.7500, 0.6455], [0.1212, 0.2500, 0.5469], [0.3788, 0.7500, 0.0469], [0.6212, 0.2500, 0.9531], [0.8788, 0.7500, 0.4531]],
  "de_polymorph_mev_per_atom": 12
}


14.
{
  "formula": "InRh2Br",
  "functional": "PBE",
  "state": "optimized geometry",
  "lattice_angstrom": [[3.1180, 0.0000, 0.0000], [0.0000, 3.5525, 0.0000], [0.0000, 0.0000, 7.0818]],
  "species": ["In", "Rh", "Rh", "Br"],
  "frac_coords": [[0.0000, 0.0000, 0.0000], [0.5000, 0.5000, 0.2019], [0.5000, 0.5000, 0.7981], [0.0000, 0.5000, 0.5000]],
  "de_polymorph_mev_per_atom": 0,
  "raw_formation_energy_ev_per_atom": 0.0106
}


15.
{
  "formula": "NaZn4Cu",
  "functional": "PBE",
  "state": "optimized geometry",
  "lattice_angstrom": [[8.0172, 0.0000, 0.0000], [0.0000, 3.9003, 0.0000], [0.0000, 0.0000, 6.6297]],
  "species": ["Na", "Na", "Zn", "Zn", "Zn", "Zn", "Zn", "Zn", "Zn", "Zn", "Cu", "Cu"],
  "frac_coords": [[0.2500, 0.0000, 0.1150], [0.7500, 0.0000, 0.8850], [0.0000, 0.0000, 0.5000], [0.0504, 0.5000, 0.8048], [0.2500, 0.5000, 0.4511], [0.4496, 0.5000, 0.8048], [0.5000, 0.0000, 0.5000], [0.5504, 0.5000, 0.1952], [0.7500, 0.5000, 0.5489], [0.9496, 0.5000, 0.1952], [0.2500, 0.0000, 0.7005], [0.7500, 0.0000, 0.2995]],
  "de_polymorph_mev_per_atom": 0
}


16.
{
  "formula": "K2YRh",
  "functional": "PBE",
  "state": "optimized geometry",
  "lattice_angstrom": [[1.6943, 0.9782, 12.4828], [-1.6943, 0.9782, 12.4828], [0.0000, -1.9564, 12.4828]],
  "species": ["K", "K", "Y", "Rh"],
  "frac_coords": [[0.2334, 0.2334, 0.2334], [0.7666, 0.7666, 0.7666], [0.0000, 0.0000, 0.0000], [0.5000, 0.5000, 0.5000]],
  "de_polymorph_mev_per_atom": 807
}


17.
{
  "formula": "BeB2W3",
  "functional": "PBE",
  "state": "optimized geometry",
  "lattice_angstrom": [[9.0866, 0.0000, 0.0000], [0.0000, 3.1580, 0.0000], [0.0000, 0.0000, 9.1616]],
  "species": ["Be", "Be", "Be", "Be", "B", "B", "B", "B", "B", "B", "B", "B", "W", "W", "W", "W", "W", "W", "W", "W", "W", "W", "W", "W"],
  "frac_coords": [[0.1323, 0.2500, 0.1216], [0.3677, 0.7500, 0.6216], [0.6323, 0.2500, 0.3784], [0.8677, 0.7500, 0.8784], [0.0372, 0.7500, 0.1835], [0.1907, 0.7500, 0.5081], [0.3093, 0.2500, 0.0081], [0.4628, 0.2500, 0.6835], [0.5372, 0.7500, 0.3165], [0.6907, 0.7500, 0.9919], [0.8093, 0.2500, 0.4919], [0.9628, 0.2500, 0.8165], [0.0627, 0.2500, 0.3758], [0.1189, 0.7500, 0.9306], [0.1939, 0.2500, 0.6914], [0.3061, 0.7500, 0.1914], [0.3811, 0.2500, 0.4306], [0.4373, 0.7500, 0.8758], [0.5627, 0.2500, 0.1242], [0.6189, 0.7500, 0.5694], [0.6939, 0.2500, 0.8086], [0.8061, 0.7500, 0.3086], [0.8811, 0.2500, 0.0694], [0.9373, 0.7500, 0.6242]]
}


18.
{
  "formula": "Sc2ICl",
  "functional": "PBE",
  "state": "optimized geometry",
  "lattice_angstrom": [[0.0000, 3.4827, 3.4827], [3.4827, 0.0000, 3.4827], [3.4827, 3.4827, 0.0000]],
  "species": ["Sc", "Sc", "I", "Cl"],
  "frac_coords": [[0.2500, 0.2500, 0.2500], [0.7500, 0.7500, 0.7500], [0.0000, 0.0000, 0.0000], [0.5000, 0.5000, 0.5000]],
  "de_polymorph_mev_per_atom": 87,
  "raw_formation_energy_ev_per_atom": -0.5861
}


19.
{
  "formula": "Li3Pm2USe6",
  "functional": "PBE",
  "state": "optimized geometry",
  "lattice_angstrom": [[3.5928, -6.2086, 0.0000], [3.5928, 6.2086, 0.0000], [-2.3928, 0.0000, 6.5225]],
  "species": ["Li", "Li", "Li", "Pm", "Pm", "U", "Se", "Se", "Se", "Se", "Se", "Se"],
  "frac_coords": [[0.0000, 0.0000, 0.0000], [0.3334, 0.6666, 0.0000], [0.6666, 0.3334, 0.0000], [0.1668, 0.8332, 0.5000], [0.8332, 0.1668, 0.5000], [0.5000, 0.5000, 0.5000], [0.0853, 0.4131, 0.2402], [0.2585, 0.2585, 0.7577], [0.4131, 0.0853, 0.2402], [0.5869, 0.9147, 0.7598], [0.7415, 0.7415, 0.2423], [0.9147, 0.5869, 0.7598]],
  "raw_formation_energy_ev_per_atom": -1.4898
}


Calculated electronic total energy, -5.7593, -5.1671, -4.2165, -3.3977, -6.7282, -3.8875, -6.5172, -4.3794, -4.9743, -5.3878, -8.5190, -8.0951, -4.9397, -4.7680, -1.7331, -3.2490, -9.6099, -4.6011, -5.4430 eV per atom (same order as the records).